No. 1
A plane-wave DFT calculation with GGA-PBE was carried out for a geometry-optimized Ho3Tm2Au3 structure.

Calculated values
The space-group type is Immm (71). The calculated total energy is -4.713 eV per atom. Its crystal system is orthorhombic. The energy of formation is -501.7 kJ/mol of formula units. The density of states at the Fermi level is 5.6 states/eV/f.u. The value obtained for the spin magnetization is 0.0 μB per cell.

POSCAR file:
```
Ho3Tm2Au3
1.0
0.4489 2.9952 -1.9513
2.2053 -2.7756 -3.7530
-10.8782 -1.6112 -1.6498
Au Ho Tm
3 3 2
Direct
0.8810 0.8810 0.7620
0.1190 0.1190 0.2380
0.0000 0.5000 0.0000
0.3818 0.3818 0.7635
0.6182 0.6182 0.2365
0.5000 0.0000 0.0000
0.7287 0.2287 0.4574
0.2713 0.7713 0.5426
```



No. 2
A plane-wave DFT calculation with GGA-PBE was carried out for a geometry-optimized Zn2HPd4 structure.

Calculated values
The space-group type is I4/mmm (139). As for the energy above the most stable polymorph in this dataset: 0.031 eV/atom. The calculated total energy is -4.119 eV per atom. Its crystal system is tetragonal. The density of states at the Fermi level is 2.1 states/eV/f.u. The value obtained for the spin magnetization is 0.0 μB per cell.

POSCAR file:
```
Zn2HPd4
1.0
3.8268 0.0000 0.0000
0.0000 3.8268 0.0000
1.9134 1.9134 6.5873
Pd H Zn
4 1 2
Direct
0.0000 0.5000 0.0000
0.1691 0.1691 0.6619
0.8309 0.8309 0.3381
0.5000 0.0000 0.0000
0.0000 0.0000 0.0000
0.3578 0.3578 0.2844
0.6422 0.6422 0.7156
```



No. 3
A plane-wave DFT calculation with GGA-PBE was carried out for a geometry-optimized MgNp2Ge3Ir4 structure.

Calculated values
The space-group type is P-4m2 (115). The calculated total energy is -8.093 eV per atom. Its crystal system is tetragonal. The energy of formation is -401.6 kJ/mol of formula units. The density of states at the Fermi level is 20.2 states/eV/f.u. The value obtained for the spin magnetization is 7.5 μB per cell.

POSCAR file:
```
MgNp2Ge3Ir4
1.0
-2.2985 -2.6498 -2.0495
2.8531 -2.8510 0.4862
-4.8119 -3.1915 9.5229
Np Ge Ir Mg
2 3 4 1
Direct
0.0000 0.5000 0.7531
0.5000 0.0000 0.2469
0.5000 0.0000 0.8740
0.0000 0.0000 0.5000
0.0000 0.5000 0.1260
0.0000 0.0000 0.0000
0.5000 0.5000 0.0000
0.0000 0.5000 0.3450
0.5000 0.0000 0.6550
0.5000 0.5000 0.5000
```



No. 4
A plane-wave DFT calculation with GGA-PBE was carried out for a geometry-optimized K2NaPuI6 structure.

Calculated values
The space-group type is P2_1/c (14). The calculation puts the formation energy (no corrections) at -1273 meV/atom. The calculated total energy is -3.988 eV per atom. Its crystal system is monoclinic. The density of states at the Fermi level is 11.5 states/eV/f.u. The value obtained for the spin magnetization is 10.0 μB per cell.

POSCAR file:
```
K2NaPuI6
1.0
-6.3876 -2.2438 -4.6249
4.3976 -7.2639 -2.5496
-4.6757 -6.0691 9.2262
I Na K Pu
12 2 4 2
Direct
0.3071 0.6879 0.0595
0.3817 0.9664 0.7454
0.8227 0.8007 0.9429
0.1773 0.1993 0.0571
0.1929 0.1879 0.4405
0.3227 0.6993 0.4429
0.8817 0.5336 0.2454
0.8071 0.8121 0.5595
0.6183 0.0336 0.2546
0.6773 0.3007 0.5571
0.1183 0.4664 0.7546
0.6929 0.3121 0.9405
0.5000 0.0000 0.0000
0.0000 0.5000 0.5000
0.9648 0.0899 0.7480
0.5352 0.5899 0.7520
0.4648 0.4101 0.2480
0.0352 0.9101 0.2520
0.0000 0.5000 0.0000
0.5000 0.0000 0.5000
```



No. 5
A plane-wave DFT calculation with GGA-PBE was carried out for a geometry-optimized GdNiHgPd structure.

Calculated values
The space-group type is F-43m (216). The calculated total energy is -6.748 eV per atom. Its crystal system is cubic. The energy of formation is -157.9 kJ/mol of formula units. The density of states at the Fermi level is 2.7 states/eV/f.u. The value obtained for the spin magnetization is 7.1 μB per cell.

POSCAR file:
```
GdNiHgPd
1.0
-0.3335 -4.7020 0.5547
3.5934 -2.8061 -1.3194
2.6281 -2.1942 3.2873
Ni Gd Hg Pd
1 1 1 1
Direct
0.7500 0.7500 0.7500
0.5000 0.5000 0.5000
0.0000 0.0000 0.0000
0.2500 0.2500 0.2500
```



No. 6
A plane-wave DFT calculation with GGA-PBE was carried out for a geometry-optimized Ce2HoAlC structure.

Calculated values
The space-group type is P4/mmm (123). The calculated total energy is -6.147 eV per atom. Its crystal system is tetragonal. The energy of formation is -127.5 kJ/mol of formula units. The density of states at the Fermi level is 7.8 states/eV/f.u. The value obtained for the spin magnetization is 0.8 μB per cell.

POSCAR file:
```
Ce2HoAlC
1.0
4.9054 0.0000 0.0000
0.0000 4.9050 0.0000
0.0000 0.0000 4.9050
Al Ce Ho C
1 2 1 1
Direct
0.5000 0.5000 0.5000
0.0000 0.5000 0.0000
0.0000 0.0000 0.5000
0.5000 0.0000 0.0000
0.0000 0.0000 0.0000
```



No. 7
A plane-wave DFT calculation with GGA-PBE was carried out for a geometry-optimized CaSb2 structure.

Calculated values
The space-group type is I4_1/amd (141). The calculation puts the formation energy (no corrections) at -595 meV/atom. The calculated total energy is -4.011 eV per atom. Its crystal system is tetragonal. The density of states at the Fermi level is 1.1 states/eV/f.u. The value obtained for the spin magnetization is 0.0 μB per cell.

POSCAR file:
```
CaSb2
1.0
-9.1937 0.3942 -14.7550
-4.2180 -3.0953 -16.5836
5.1790 -1.2881 16.5501
Ca Sb
4 8
Direct
0.0732 0.0732 0.0000
0.3232 0.8232 0.5000
0.9268 0.9268 0.0000
0.1768 0.6768 0.5000
0.6548 0.1548 0.5000
0.5023 0.0023 0.5000
0.4048 0.4048 0.0000
0.2523 0.2523 0.0000
0.7477 0.7477 0.0000
0.9977 0.4977 0.5000
0.5952 0.5952 0.0000
0.8452 0.3452 0.5000
```



No. 8
A plane-wave DFT calculation with GGA-PBE was carried out for a geometry-optimized Ba5Cl structure.

Calculated values
The space-group type is Cm (8). The calculation puts the formation energy (no corrections) at -503 meV/atom. As for the energy above the most stable polymorph in this dataset: 0.000 eV/atom. The calculated total energy is -2.413 eV per atom. Its crystal system is monoclinic. The density of states at the Fermi level is 7.8 states/eV/f.u. The value obtained for the spin magnetization is 0.0 μB per cell.

POSCAR file:
```
Ba5Cl
1.0
2.1382 7.4154 0.0060
-2.1382 7.4154 0.0060
0.0000 3.0890 10.6262
Ba Cl
5 1
Direct
0.9271 0.9271 0.9775
0.6163 0.6163 0.1873
0.3196 0.3196 0.3726
0.7080 0.7080 0.7556
0.0158 0.0158 0.5637
0.2464 0.2464 0.9767
```



- The lowest calculated total energy belongs to which entry?
  MgNp2Ge3Ir4



- Among the records above, which one has the highest spin magnetization?
  K2NaPuI6



Repeat the third record exactly.
A plane-wave DFT calculation with GGA-PBE was carried out for a geometry-optimized MgNp2Ge3Ir4 structure.

Calculated values
The space-group type is P-4m2 (115). The calculated total energy is -8.093 eV per atom. Its crystal system is tetragonal. The energy of formation is -401.6 kJ/mol of formula units. The density of states at the Fermi level is 20.2 states/eV/f.u. The value obtained for the spin magnetization is 7.5 μB per cell.

POSCAR file:
```
MgNp2Ge3Ir4
1.0
-2.2985 -2.6498 -2.0495
2.8531 -2.8510 0.4862
-4.8119 -3.1915 9.5229
Np Ge Ir Mg
2 3 4 1
Direct
0.0000 0.5000 0.7531
0.5000 0.0000 0.2469
0.5000 0.0000 0.8740
0.0000 0.0000 0.5000
0.0000 0.5000 0.1260
0.0000 0.0000 0.0000
0.5000 0.5000 0.0000
0.0000 0.5000 0.3450
0.5000 0.0000 0.6550
0.5000 0.5000 0.5000
```



- calculated total energy of number 1 (Ho3Tm2Au3)?
  -4.713 eV per atom